ZrIrBr2 PBE relaxed; formation energy without anion corrections = 0.16 eV/atom; spin magnetization = 0.000 μB per cell
1.0
0.000 3.425 3.425
3.425 0.000 3.425
3.425 3.425 0.000
Zr Ir Br
1 1 2
Direct
0.000 0.000 0.000
0.750 0.750 0.750
0.250 0.250 0.250
0.500 0.500 0.500

=====

Y11Tl9Pt4 PBE relaxed; spin magnetization = 0.000 μB per cell; calculated formation energy = -66 kJ/mol of atoms
1.0
7.425 -11.149 0.000
7.425 11.149 0.000
0.000 0.000 3.695
Y Tl Pt
11 9 4
Direct
0.000 0.000 0.000
0.078 0.416 0.000
0.162 0.838 0.000
0.308 0.308 0.000
0.372 0.628 0.000
0.416 0.078 0.000
0.584 0.922 0.000
0.628 0.372 0.000
0.692 0.692 0.000
0.838 0.162 0.000
0.922 0.584 0.000
0.067 0.214 0.500
0.150 0.632 0.500
0.214 0.067 0.500
0.368 0.850 0.500
0.500 0.500 0.500
0.632 0.150 0.500
0.786 0.933 0.500
0.850 0.368 0.500
0.933 0.786 0.500
0.249 0.450 0.500
0.450 0.249 0.500
0.550 0.751 0.500
0.751 0.550 0.500

=====

BeCdIr2Se PBE relaxed; formation energy without anion corrections = 0.55 eV/atom; spin magnetization = 0.000 μB per cell
1.0
4.272 0.000 0.000
0.000 4.272 0.000
0.000 0.000 4.471
Be Cd Ir Se
1 1 2 1
Direct
0.000 0.000 0.000
0.000 0.000 0.500
0.000 0.500 0.000
0.500 0.000 0.000
0.500 0.500 0.500

=====

Tb2Cd16In PBE relaxed; spin magnetization = 0.000 μB per cell; calculated formation energy = -10 kJ/mol of atoms
1.0
5.067 2.925 4.960
-5.067 2.925 4.960
0.000 -5.851 4.960
Tb Cd In
2 16 1
Direct
0.000 0.000 0.000
0.345 0.345 0.345
0.046 0.046 0.447
0.046 0.447 0.046
0.137 0.697 0.697
0.329 0.329 0.795
0.329 0.795 0.329
0.361 0.667 0.982
0.361 0.982 0.667
0.447 0.046 0.046
0.667 0.361 0.982
0.667 0.982 0.361
0.697 0.137 0.697
0.697 0.697 0.137
0.760 0.760 0.760
0.795 0.329 0.329
0.982 0.361 0.667
0.982 0.667 0.361
0.567 0.567 0.567

=====

Ce5ZrBi3 PBE relaxed; spin magnetization = 11.595 μB per cell; calculated formation energy = -39 kJ/mol of atoms
1.0
9.671 0.000 0.000
-4.836 8.376 0.000
0.000 0.000 6.484
Ce Zr Bi
10 2 6
Direct
0.000 0.278 0.250
0.000 0.722 0.750
0.278 0.000 0.250
0.278 0.278 0.750
0.333 0.667 0.000
0.333 0.667 0.500
0.667 0.333 0.000
0.667 0.333 0.500
0.722 0.000 0.750
0.722 0.722 0.250
0.000 0.000 0.000
0.000 0.000 0.500
0.000 0.373 0.750
0.000 0.627 0.250
0.373 0.000 0.750
0.373 0.373 0.250
0.627 0.000 0.250
0.627 0.627 0.750

=====

Dy3Ho6ZrSc2 PBE relaxed; spin magnetization = 0.001 μB per cell; calculated formation energy = 5 kJ/mol of atoms
1.0
2.994 -5.178 0.000
2.994 5.178 0.000
-1.987 0.000 11.252
Dy Ho Zr Sc
3 6 1 2
Direct
0.000 0.000 0.000
0.333 0.667 0.000
0.667 0.333 0.000
0.090 0.420 0.261
0.251 0.251 0.739
0.420 0.090 0.261
0.580 0.910 0.739
0.749 0.749 0.261
0.910 0.580 0.739
0.500 0.500 0.500
0.167 0.833 0.500
0.833 0.167 0.500

=====

SrZn2Si2 PBE relaxed; formation energy without anion corrections = 0.09 eV/atom; spin magnetization = 0.000 μB per cell
1.0
7.847 0.000 0.000
0.000 7.847 0.000
0.000 0.000 3.112
Sr Zn Si
2 4 4
Direct
0.000 0.000 0.000
0.500 0.500 0.000
0.120 0.380 0.000
0.380 0.880 0.000
0.620 0.120 0.000
0.880 0.620 0.000
0.169 0.669 0.500
0.331 0.169 0.500
0.669 0.831 0.500
0.831 0.331 0.500

=====

RbTlO2 PBE relaxed; formation energy without anion corrections = -0.96 eV/atom; spin magnetization = 0.000 μB per cell
1.0
6.179 0.000 0.000
0.000 3.410 0.000
-0.586 0.000 7.556
Rb Tl O
2 2 4
Direct
0.227 0.250 0.364
0.773 0.750 0.636
0.310 0.250 0.869
0.690 0.750 0.131
0.250 0.750 0.677
0.310 0.750 0.075
0.690 0.250 0.925
0.750 0.250 0.323

=====

LiCrSe2 PBE relaxed; formation energy without anion corrections = -0.64 eV/atom; spin magnetization = 6.000 μB per cell
1.0
-3.012 3.012 5.221
3.012 -3.012 5.221
3.012 3.012 -5.221
Li Cr Se
2 2 4
Direct
0.000 0.000 0.000
0.750 0.250 0.500
0.250 0.750 0.500
0.500 0.500 0.000
0.152 0.625 0.027
0.375 0.402 0.527
0.598 0.125 0.973
0.875 0.848 0.473

=====

PmNd5Sn5 PBE relaxed; spin magnetization = 0.498 μB per cell; calculated formation energy = -47 kJ/mol of atoms
1.0
7.250 -3.178 0.000
7.250 3.178 0.000
-2.633 0.000 8.341
Pm Nd Sn
1 5 5
Direct
0.000 0.000 0.000
0.000 0.000 0.500
0.331 0.331 0.165
0.332 0.332 0.666
0.668 0.668 0.334
0.669 0.669 0.835
0.163 0.163 0.829
0.165 0.165 0.334
0.500 0.500 0.000
0.835 0.835 0.666
0.837 0.837 0.171

=====

Ce2Si3Ni4Ir PBE relaxed; formation energy without anion corrections = -0.69 eV/atom; spin magnetization = 0.000 μB per cell
1.0
3.847 0.000 0.000
0.000 3.847 0.000
0.000 0.000 10.495
Ce Si Ni Ir
2 3 4 1
Direct
0.000 0.500 0.245
0.500 0.000 0.755
0.000 0.000 0.000
0.000 0.500 0.621
0.500 0.000 0.379
0.000 0.000 0.500
0.000 0.500 0.842
0.500 0.000 0.158
0.500 0.500 0.500
0.500 0.500 0.000

=====

NdDy6Ho6 PBE relaxed; spin magnetization = 0.001 μB per cell; calculated formation energy = 22 kJ/mol of atoms
1.0
6.553 0.000 0.000
0.000 11.032 0.000
-2.841 0.000 5.928
Nd Dy Ho
1 6 6
Direct
0.000 0.000 0.000
0.000 0.337 0.000
0.000 0.663 0.000
0.269 0.500 0.739
0.334 0.000 0.620
0.666 0.000 0.380
0.731 0.500 0.261
0.000 0.233 0.500
0.000 0.767 0.500
0.500 0.219 0.000
0.500 0.302 0.500
0.500 0.698 0.500
0.500 0.781 0.000

=====

NdSmEr2S6 PBE relaxed; formation energy without anion corrections = -2.04 eV/atom; spin magnetization = 0.000 μB per cell
1.0
3.500 2.021 6.170
-3.500 2.021 6.170
0.000 -4.041 6.170
Nd Sm Er S
1 1 2 6
Direct
0.000 0.000 0.000
0.498 0.498 0.498
0.294 0.294 0.294
0.795 0.795 0.795
0.083 0.675 0.416
0.182 0.583 0.909
0.416 0.083 0.675
0.583 0.909 0.182
0.675 0.416 0.083
0.909 0.182 0.583

=====

Si2AgF8 PBE relaxed; formation energy without anion corrections = -2.61 eV/atom; spin magnetization = 0.000 μB per cell
1.0
5.421 -4.260 0.000
5.421 4.260 0.000
-0.659 0.000 4.706
Si Ag F
2 1 8
Direct
0.218 0.218 0.388
0.782 0.782 0.612
0.500 0.500 0.000
0.077 0.077 0.255
0.134 0.437 0.290
0.226 0.226 0.724
0.437 0.134 0.290
0.563 0.866 0.710
0.774 0.774 0.276
0.866 0.563 0.710
0.923 0.923 0.745

=====

TbYS2 PBE relaxed; formation energy without anion corrections = -2.00 eV/atom; spin magnetization = 0.000 μB per cell
1.0
1.964 1.134 6.385
-1.964 1.134 6.385
0.000 -2.268 6.385
Tb Y S
1 1 2
Direct
0.000 0.000 0.000
0.500 0.500 0.500
0.250 0.250 0.250
0.750 0.750 0.750

=====

HfGaSn PBE relaxed; spin magnetization = 0.000 μB per cell; calculated formation energy = -20 kJ/mol of atoms
1.0
-1.596 1.596 12.501
1.596 -1.596 12.501
1.596 1.596 -12.501
Hf Ga Sn
2 2 2
Direct
0.143 0.143 0.000
0.857 0.857 0.000
0.283 0.283 0.000
0.717 0.717 0.000
0.442 0.442 0.000
0.558 0.558 0.000

=====

Ac5Tl2RhN PBE relaxed; formation energy without anion corrections = -0.59 eV/atom; spin magnetization = 0.000 μB per cell
1.0
2.134 -9.939 0.000
2.134 9.939 0.000
0.000 0.000 14.885
Ac Tl Rh N
10 4 2 2
Direct
0.005 0.995 0.500
0.159 0.841 0.718
0.175 0.825 0.098
0.210 0.790 0.376
0.461 0.539 0.727
0.539 0.461 0.227
0.790 0.210 0.876
0.825 0.175 0.598
0.841 0.159 0.218
0.995 0.005 0.000
0.361 0.639 0.036
0.387 0.613 0.396
0.613 0.387 0.896
0.639 0.361 0.536
0.302 0.698 0.739
0.698 0.302 0.239
0.050 0.950 0.141
0.950 0.050 0.641

=====

TiCuSb PBE relaxed; formation energy without anion corrections = -0.15 eV/atom; spin magnetization = 0.000 μB per cell
1.0
3.105 0.000 0.000
1.025 5.161 0.000
0.390 2.501 6.804
Ti Cu Sb
2 2 2
Direct
0.012 0.173 0.154
0.988 0.827 0.846
0.331 0.813 0.504
0.669 0.187 0.496
0.492 0.350 0.799
0.508 0.650 0.201

=====

YTmCd14 PBE relaxed; spin magnetization = 0.000 μB per cell; calculated formation energy = -13 kJ/mol of atoms
1.0
6.574 0.000 0.000
0.000 6.574 0.000
0.000 0.000 8.514
Y Tm Cd
1 1 14
Direct
0.000 0.000 0.000
0.500 0.500 0.000
0.000 0.000 0.500
0.000 0.500 0.000
0.000 0.500 0.500
0.251 0.251 0.257
0.251 0.251 0.743
0.251 0.749 0.257
0.251 0.749 0.743
0.500 0.000 0.000
0.500 0.000 0.500
0.500 0.500 0.500
0.749 0.251 0.257
0.749 0.251 0.743
0.749 0.749 0.257
0.749 0.749 0.743

=====

OsWCl PBE relaxed; formation energy without anion corrections = 0.44 eV/atom; spin magnetization = 0.000 μB per cell
1.0
-1.472 1.472 5.886
1.472 -1.472 5.886
1.472 1.472 -5.886
Os W Cl
1 1 1
Direct
0.000 0.000 0.000
0.631 0.631 0.000
0.285 0.285 0.000